[1]
Na3Zr3PdSe8 (PBE, relaxed); space group = R-3m; ρ = 4.89 g/cm³; uncorrected formation energy = -1.13 eV per atom
1.0
3.855 2.226 7.132
-3.855 2.226 7.132
0.000 -4.451 7.132
Na Zr Pd Se
3 3 1 8
Direct
0.000 0.500 0.500
0.500 0.000 0.500
0.500 0.500 0.000
0.000 0.000 0.500
0.000 0.500 0.000
0.500 0.000 0.000
0.500 0.500 0.500
0.241 0.737 0.737
0.242 0.242 0.242
0.263 0.263 0.759
0.263 0.759 0.263
0.737 0.241 0.737
0.737 0.737 0.241
0.758 0.758 0.758
0.759 0.263 0.263



[2]
PrY7In4 (PBE, relaxed); space group = C2/m; ρ = 5.59 g/cm³
1.0
7.239 -2.836 0.000
7.239 2.836 0.000
-5.983 0.000 8.847
Pr Y In
1 7 4
Direct
0.000 0.000 0.000
0.063 0.063 0.391
0.213 0.213 0.876
0.291 0.291 0.353
0.500 0.500 0.000
0.709 0.709 0.647
0.787 0.787 0.124
0.937 0.937 0.609
0.317 0.317 0.668
0.438 0.438 0.235
0.562 0.562 0.765
0.683 0.683 0.332



no.,uncorrected energy (eV per atom)
1,-5.31
2,-5.22